## Sb2AsS6 (GGA-PBE)

Data for an optimized crystal structure of Sb2AsS6.

a b c (Å): 5.992 5.992 11.919
angles (deg): 90.00 90.00 90.00
Fractional coordinates of all 18 atoms:
Sb: 0.500 0.500 0.166
S: 0.811 0.189 0.163
As: 0.500 0.500 0.500
S: 0.200 0.800 0.500
S: 0.811 0.189 0.837
S: 0.311 0.311 0.663
Sb: 0.000 0.000 0.666
Sb: 0.000 0.000 0.334
S: 0.311 0.311 0.337
S: 0.189 0.811 0.837
As: 0.000 0.000 0.000
S: 0.189 0.811 0.163
S: 0.689 0.689 0.337
Sb: 0.500 0.500 0.834
S: 0.800 0.200 0.500
S: 0.300 0.300 0.000
S: 0.689 0.689 0.663
S: 0.700 0.700 0.000

## Properties
E_form (uncorrected): 0.11 eV/atom
Space group: No. 136